## V2Cd2W (PBE)

Data for a relaxed structure of V2Cd2W.

Output
magnetization	0.000	μB per cell
energy above the most stable polymorph in this dataset	27	meV per atom
raw total energy	-5.779	eV per atom
energy of formation from the pure elements	4.12	eV per formula unit

a b c (Å): 7.703 7.703 2.867
angles (deg): 90.00 90.00 90.00
Space group P4/mbm (No. 127)
One atom of each set of equivalent atoms:
V1 0.106 0.394 0.000 [4 per cell]
Cd1 0.188 0.688 0.500 [4 per cell]
W1 0.000 0.000 0.000 [2 per cell]